No. 1
LiTbGdBi after structural relaxation. Source: Alexandria, functional PBE.

Computed properties:
- DOS(E_F): 5.4 states/eV/f.u.
- VASP energy: -25.81 eV for the cell shown

a b c (Å): 5.3500 5.3500 5.3500
angles (deg): 60.00 60.00 60.00
Sites, in units of the cell vectors:
Li (0.0000, 0.0000, 0.0000)
Tb (0.2500, 0.2500, 0.2500)
Gd (0.7500, 0.7500, 0.7500)
Bi (0.5000, 0.5000, 0.5000)

=====

No. 2
LiGdYBi after structural relaxation. Source: Alexandria, functional PBE.

Computed properties:
- DOS(E_F): 5.2 states/eV/f.u.
- VASP energy: -27.70 eV for the cell shown

a b c (Å): 5.3456 5.3456 5.3456
angles (deg): 60.00 60.00 60.00
Sites, in units of the cell vectors:
Li (0.0000, 0.0000, 0.0000)
Gd (0.7500, 0.7500, 0.7500)
Y (0.2500, 0.2500, 0.2500)
Bi (0.5000, 0.5000, 0.5000)

=====

No. 3
GdLu2Bi after structural relaxation. Source: Alexandria, functional PBE.

Computed properties:
- DOS(E_F): 4.8 states/eV/f.u.
- VASP energy: -28.19 eV for the cell shown

a b c (Å): 4.0471 4.0471 7.1309
angles (deg): 90.00 90.00 90.00
Sites, in units of the cell vectors:
Gd (0.0000, 0.0000, 0.0000)
Lu (0.5000, 0.5000, 0.2660)
Lu (0.5000, 0.5000, 0.7340)
Bi (0.0000, 0.0000, 0.5000)

=====

No. 4
GdLu2Bi after structural relaxation. Source: Alexandria, functional PBE.

Computed properties:
- DOS(E_F): 5.0 states/eV/f.u.
- VASP energy: -28.26 eV for the cell shown

a b c (Å): 4.8706 4.8706 4.8018
angles (deg): 90.00 90.00 90.00
Sites, in units of the cell vectors:
Gd (0.0000, 0.0000, 0.0000)
Lu (0.0000, 0.5000, 0.5000)
Lu (0.5000, 0.0000, 0.5000)
Bi (0.5000, 0.5000, 0.0000)

=====

No. 5
GdLu2Bi after structural relaxation. Source: Alexandria, functional PBE.

Computed properties:
- DOS(E_F): 4.6 states/eV/f.u.
- VASP energy: -26.77 eV for the cell shown

a b c (Å): 12.0190 12.0190 12.0190
angles (deg): 16.82 16.82 16.82
Sites, in units of the cell vectors:
Gd (0.0000, 0.0000, 0.0000)
Lu (0.4123, 0.4123, 0.4123)
Lu (0.5877, 0.5877, 0.5877)
Bi (0.5000, 0.5000, 0.5000)

=====

No. 6
Gd2MgBi after structural relaxation. Source: Alexandria, functional PBE.

Computed properties:
- DOS(E_F): 4.1 states/eV/f.u.
- VASP energy: -35.53 eV for the cell shown

a b c (Å): 4.0779 4.0779 6.8475
angles (deg): 90.00 90.00 90.00
Sites, in units of the cell vectors:
Gd (0.0000, 0.0000, 0.2461)
Gd (0.0000, 0.0000, 0.7539)
Mg (0.5000, 0.5000, 0.5000)
Bi (0.5000, 0.5000, 0.0000)

=====

No. 7
Gd2MgBi after structural relaxation. Source: Alexandria, functional PBE.

Computed properties:
- DOS(E_F): 4.0 states/eV/f.u.
- VASP energy: -33.60 eV for the cell shown

a b c (Å): 11.8403 11.8403 11.8403
angles (deg): 17.07 17.07 17.07
Sites, in units of the cell vectors:
Gd (0.0909, 0.0909, 0.0909)
Gd (0.9091, 0.9091, 0.9091)
Mg (0.5000, 0.5000, 0.5000)
Bi (0.0000, 0.0000, 0.0000)

=====

No. 8
Gd2MgBi after structural relaxation. Source: Alexandria, functional PBE.

Computed properties:
- DOS(E_F): 5.4 states/eV/f.u.
- VASP energy: -35.09 eV for the cell shown

a b c (Å): 5.4639 5.4639 5.4639
angles (deg): 60.00 60.00 60.00
Sites, in units of the cell vectors:
Gd (0.2500, 0.2500, 0.2500)
Gd (0.7500, 0.7500, 0.7500)
Mg (0.0000, 0.0000, 0.0000)
Bi (0.5000, 0.5000, 0.5000)

=====

No. 9
Gd2MgBi after structural relaxation. Source: Alexandria, functional PBE.

Computed properties:
- DOS(E_F): 4.8 states/eV/f.u.
- VASP energy: -35.39 eV for the cell shown

a b c (Å): 5.0017 5.0017 4.5119
angles (deg): 90.00 90.00 90.00
Sites, in units of the cell vectors:
Gd (0.0000, 0.5000, 0.0000)
Gd (0.5000, 0.0000, 0.0000)
Mg (0.0000, 0.0000, 0.5000)
Bi (0.5000, 0.5000, 0.5000)

=====

No. 10
NdGdMgBi after structural relaxation. Source: Alexandria, functional PBE.

Computed properties:
- DOS(E_F): 4.7 states/eV/f.u.
- VASP energy: -25.76 eV for the cell shown

a b c (Å): 5.5079 5.5079 5.5079
angles (deg): 60.00 60.00 60.00
Sites, in units of the cell vectors:
Nd (0.0000, 0.0000, 0.0000)
Gd (0.5000, 0.5000, 0.5000)
Mg (0.2500, 0.2500, 0.2500)
Bi (0.7500, 0.7500, 0.7500)

=====

No. 11
GdMgBiPd after structural relaxation. Source: Alexandria, functional PBE.

Computed properties:
- DOS(E_F): 2.0 states/eV/f.u.
- VASP energy: -26.90 eV for the cell shown

a b c (Å): 5.1079 5.1079 5.1079
angles (deg): 60.00 60.00 60.00
Sites, in units of the cell vectors:
Gd (0.0000, 0.0000, 0.0000)
Mg (0.5000, 0.5000, 0.5000)
Bi (0.2500, 0.2500, 0.2500)
Pd (0.7500, 0.7500, 0.7500)

=====

No. 12
PrGdMgBi after structural relaxation. Source: Alexandria, functional PBE.

Computed properties:
- DOS(E_F): 4.9 states/eV/f.u.
- VASP energy: -25.79 eV for the cell shown

a b c (Å): 5.5267 5.5267 5.5267
angles (deg): 60.00 60.00 60.00
Sites, in units of the cell vectors:
Pr (0.0000, 0.0000, 0.0000)
Gd (0.5000, 0.5000, 0.5000)
Mg (0.2500, 0.2500, 0.2500)
Bi (0.7500, 0.7500, 0.7500)

=====

No. 13
TbGdMgBi after structural relaxation. Source: Alexandria, functional PBE.

Computed properties:
- DOS(E_F): 4.9 states/eV/f.u.
- VASP energy: -25.51 eV for the cell shown

a b c (Å): 5.4447 5.4447 5.4447
angles (deg): 60.00 60.00 60.00
Sites, in units of the cell vectors:
Tb (0.0000, 0.0000, 0.0000)
Gd (0.5000, 0.5000, 0.5000)
Mg (0.7500, 0.7500, 0.7500)
Bi (0.2500, 0.2500, 0.2500)

=====

No. 14
GdMgTlBi after structural relaxation. Source: Alexandria, functional PBE.

Computed properties:
- DOS(E_F): 4.0 states/eV/f.u.
- VASP energy: -23.01 eV for the cell shown

a b c (Å): 5.3948 5.3948 5.3948
angles (deg): 60.00 60.00 60.00
Sites, in units of the cell vectors:
Gd (0.0000, 0.0000, 0.0000)
Mg (0.5000, 0.5000, 0.5000)
Tl (0.7500, 0.7500, 0.7500)
Bi (0.2500, 0.2500, 0.2500)

=====

No. 15
GdYMgBi after structural relaxation. Source: Alexandria, functional PBE.

Computed properties:
- DOS(E_F): 5.0 states/eV/f.u.
- VASP energy: -27.37 eV for the cell shown

a b c (Å): 5.4421 5.4421 5.4421
angles (deg): 60.00 60.00 60.00
Sites, in units of the cell vectors:
Gd (0.0000, 0.0000, 0.0000)
Y (0.5000, 0.5000, 0.5000)
Mg (0.2500, 0.2500, 0.2500)
Bi (0.7500, 0.7500, 0.7500)

=====

No. 16
NaGdBi after structural relaxation. Source: Alexandria, functional PBE.

Computed properties:
- DOS(E_F): 4.6 states/eV/f.u.
- VASP energy: -20.17 eV for the cell shown

a b c (Å): 5.1162 5.1162 3.9451
angles (deg): 90.00 90.00 120.00
Sites, in units of the cell vectors:
Na (0.0000, 0.0000, 0.0000)
Gd (0.3333, 0.6667, 0.5491)
Bi (0.6667, 0.3333, 0.1501)

=====

No. 17
NaGdBi2 after structural relaxation. Source: Alexandria, functional PBE.

Computed properties:
- DOS(E_F): 2.2 states/eV/f.u.
- VASP energy: -25.28 eV for the cell shown

a b c (Å): 3.6128 3.6128 9.1909
angles (deg): 90.00 90.00 90.00
Sites, in units of the cell vectors:
Na (0.0000, 0.0000, 0.0000)
Gd (0.0000, 0.0000, 0.5000)
Bi (0.5000, 0.5000, 0.2551)
Bi (0.5000, 0.5000, 0.7449)

=====

No. 18
NaGd2Bi after structural relaxation. Source: Alexandria, functional PBE.

Computed properties:
- DOS(E_F): 5.9 states/eV/f.u.
- VASP energy: -34.63 eV for the cell shown

a b c (Å): 5.0869 5.0869 4.5426
angles (deg): 90.00 90.00 90.00
Sites, in units of the cell vectors:
Na (0.0000, 0.0000, 0.0000)
Gd (0.0000, 0.5000, 0.5000)
Gd (0.5000, 0.0000, 0.5000)
Bi (0.5000, 0.5000, 0.0000)

=====

No. 19
Na2GdBi after structural relaxation. Source: Alexandria, functional PBE.

Computed properties:
- DOS(E_F): 5.9 states/eV/f.u.
- VASP energy: -20.29 eV for the cell shown

a b c (Å): 12.5851 12.5851 12.5851
angles (deg): 16.09 16.09 16.09
Sites, in units of the cell vectors:
Na (0.0958, 0.0958, 0.0958)
Na (0.9042, 0.9042, 0.9042)
Gd (0.0000, 0.0000, 0.0000)
Bi (0.5000, 0.5000, 0.5000)

=====

No. 20
NaGdBi2 after structural relaxation. Source: Alexandria, functional PBE.

Computed properties:
- DOS(E_F): 2.4 states/eV/f.u.
- VASP energy: -25.25 eV for the cell shown

a b c (Å): 5.1879 5.1879 4.3444
angles (deg): 90.00 90.00 90.00
Sites, in units of the cell vectors:
Na (0.0000, 0.0000, 0.0000)
Gd (0.5000, 0.5000, 0.0000)
Bi (0.0000, 0.5000, 0.5000)
Bi (0.5000, 0.0000, 0.5000)

=====

No. 21
NaGdBi after structural relaxation. Source: Alexandria, functional PBE.

Computed properties:
- DOS(E_F): 3.9 states/eV/f.u.
- VASP energy: -20.17 eV for the cell shown

a b c (Å): 5.7673 5.7673 5.7673
angles (deg): 136.33 136.33 63.47
Sites, in units of the cell vectors:
Na (0.0000, 0.0000, 0.0000)
Gd (0.6799, 0.6799, 0.0000)
Bi (0.3291, 0.3291, 0.0000)

=====

No. 22
NaGdBi2 after structural relaxation. Source: Alexandria, functional PBE.

Computed properties:
- DOS(E_F): 3.6 states/eV/f.u.
- VASP energy: -24.97 eV for the cell shown

a b c (Å): 5.5309 5.5309 5.5309
angles (deg): 60.00 60.00 60.00
Sites, in units of the cell vectors:
Na (0.0000, 0.0000, 0.0000)
Gd (0.5000, 0.5000, 0.5000)
Bi (0.2500, 0.2500, 0.2500)
Bi (0.7500, 0.7500, 0.7500)

=====

No. 23
NaGdBi after structural relaxation. Source: Alexandria, functional PBE.

Computed properties:
- DOS(E_F): 5.8 states/eV/f.u.
- VASP energy: -20.40 eV for the cell shown

a b c (Å): 5.2712 5.2712 5.2712
angles (deg): 60.00 60.00 60.00
Sites, in units of the cell vectors:
Na (0.0000, 0.0000, 0.0000)
Gd (0.5000, 0.5000, 0.5000)
Bi (0.7500, 0.7500, 0.7500)

=====

No. 24
NaGdBiPb after structural relaxation. Source: Alexandria, functional PBE.

Computed properties:
- DOS(E_F): 4.0 states/eV/f.u.
- VASP energy: -24.39 eV for the cell shown

a b c (Å): 5.5014 5.5014 5.5014
angles (deg): 60.00 60.00 60.00
Sites, in units of the cell vectors:
Na (0.0000, 0.0000, 0.0000)
Gd (0.5000, 0.5000, 0.5000)
Bi (0.7500, 0.7500, 0.7500)
Pb (0.2500, 0.2500, 0.2500)

=====

No. 25
NaGdBiPd after structural relaxation. Source: Alexandria, functional PBE.

Computed properties:
- DOS(E_F): 1.6 states/eV/f.u.
- VASP energy: -26.45 eV for the cell shown

a b c (Å): 5.1783 5.1783 5.1783
angles (deg): 60.00 60.00 60.00
Sites, in units of the cell vectors:
Na (0.0000, 0.0000, 0.0000)
Gd (0.5000, 0.5000, 0.5000)
Bi (0.7500, 0.7500, 0.7500)
Pd (0.2500, 0.2500, 0.2500)

=====

No. 26
NaGdBiRh after structural relaxation. Source: Alexandria, functional PBE.

Computed properties:
- DOS(E_F): 1.7 states/eV/f.u.
- VASP energy: -28.44 eV for the cell shown

a b c (Å): 4.9494 4.9494 4.9494
angles (deg): 60.00 60.00 60.00
Sites, in units of the cell vectors:
Na (0.0000, 0.0000, 0.0000)
Gd (0.7500, 0.7500, 0.7500)
Bi (0.2500, 0.2500, 0.2500)
Rh (0.5000, 0.5000, 0.5000)

=====

No. 27
NaGdSnBi after structural relaxation. Source: Alexandria, functional PBE.

Computed properties:
- DOS(E_F): 3.9 states/eV/f.u.
- VASP energy: -24.81 eV for the cell shown

a b c (Å): 5.4487 5.4487 5.4487
angles (deg): 60.00 60.00 60.00
Sites, in units of the cell vectors:
Na (0.0000, 0.0000, 0.0000)
Gd (0.5000, 0.5000, 0.5000)
Sn (0.2500, 0.2500, 0.2500)
Bi (0.7500, 0.7500, 0.7500)

=====

No. 28
NaGdZnBi after structural relaxation. Source: Alexandria, functional PBE.

Computed properties:
- DOS(E_F): 5.0 states/eV/f.u.
- VASP energy: -21.76 eV for the cell shown

a b c (Å): 5.3202 5.3202 5.3202
angles (deg): 60.00 60.00 60.00
Sites, in units of the cell vectors:
Na (0.0000, 0.0000, 0.0000)
Gd (0.5000, 0.5000, 0.5000)
Zn (0.7500, 0.7500, 0.7500)
Bi (0.2500, 0.2500, 0.2500)

=====

No. 29
GdTiNbBi2O9 after structural relaxation. Source: Alexandria, functional PBE.

Computed properties:
- DOS(E_F): 0.0 states/eV/f.u.
- VASP energy: -236.51 eV for the cell shown

a b c (Å): 5.4392 5.5228 12.9550
angles (deg): 90.00 101.65 90.00
Sites, in units of the cell vectors:
Gd (0.2411, 0.0000, 0.9999)
Gd (0.7589, 0.5000, 0.0001)
Ti (0.3350, 0.5359, 0.1675)
Ti (0.6650, 0.0359, 0.8325)
Nb (0.1795, 0.5411, 0.8323)
Nb (0.8205, 0.0411, 0.1677)
Bi (0.0223, 0.9587, 0.6016)
Bi (0.4254, 0.9498, 0.3971)
Bi (0.5746, 0.4498, 0.6029)
Bi (0.9777, 0.4587, 0.3984)
O (0.0158, 0.7770, 0.1174)
O (0.0183, 0.5468, 0.6892)
O (0.0990, 0.2785, 0.1180)
O (0.2404, 0.7274, 0.5010)
O (0.2608, 0.2277, 0.5013)
O (0.3200, 0.5542, 0.3054)
O (0.3438, 0.5887, 0.0000)
O (0.3585, 0.8681, 0.8275)
O (0.4792, 0.3642, 0.8275)
O (0.5208, 0.8642, 0.1725)
O (0.6415, 0.3681, 0.1725)
O (0.6562, 0.0887, 0.0000)
O (0.6800, 0.0542, 0.6946)
O (0.7392, 0.7277, 0.4987)
O (0.7596, 0.2274, 0.4990)
O (0.9010, 0.7785, 0.8820)
O (0.9817, 0.0468, 0.3108)
O (0.9842, 0.2770, 0.8826)